Record 1
{"formula": "MgBe2W", "functional": "PBEsol", "state": "relaxed", "cell": [[-0.0647, -2.7390, 0.5094], [2.5434, 0.1534, 1.1285], [-2.6746, 1.1550, 5.8710]], "species": ["W", "Mg", "Be", "Be"], "fractional_positions": [[0.5000, 0.5000, 0.0000], [0.5000, 0.5000, 0.5000], [0.0000, 0.0000, 0.7604], [0.0000, 0.0000, 0.2396]], "total_magnetization_mub_per_atom": 0.00, "spacegroup": "P4/mmm", "ef_ev_per_atom": 0.298}


Record 2
{"formula": "LiTeSeN2", "functional": "PBEsol", "state": "relaxed", "cell": [[-0.6874, -3.5376, -1.2114], [3.2979, 0.0070, -1.8916], [2.6916, -2.1272, 4.6848]], "species": ["Li", "Te", "N", "N", "Se"], "fractional_positions": [[0.5000, 0.5000, 0.5000], [0.0000, 0.0000, 0.5000], [0.0000, 0.5000, 0.0000], [0.5000, 0.0000, 0.0000], [0.0000, 0.0000, 0.0000]], "total_magnetization_mub_per_atom": 0.18, "spacegroup": "P4/mmm", "e_form_raw_kcal_per_mol_atoms": 27.032}


Record 3
{"formula": "Y2TiHN", "functional": "PBEsol", "state": "relaxed", "cell": [[-2.5287, -2.4271, 0.4338], [0.7915, -1.5924, -4.2959], [3.1478, -2.9787, 1.6841]], "species": ["H", "Y", "Y", "Ti", "N"], "fractional_positions": [[0.0000, 0.0000, 0.0000], [0.0000, 0.0000, 0.5000], [0.0000, 0.5000, 0.0000], [0.5000, 0.0000, 0.0000], [0.5000, 0.5000, 0.5000]], "total_magnetization_mub_per_atom": 0.33, "spacegroup": "P4/mmm", "dft_energy_ev_per_cell": -32.598}


Record 4
{"formula": "MoSe2Br", "functional": "PBEsol", "state": "relaxed", "cell": [[-0.5510, 3.2667, 3.3258], [-1.3343, -1.2531, 4.3227], [3.0447, 0.2583, 3.5636]], "species": ["Br", "Se", "Se", "Mo"], "fractional_positions": [[0.0000, 0.0000, 0.0000], [0.7500, 0.7500, 0.7500], [0.2500, 0.2500, 0.2500], [0.5000, 0.5000, 0.5000]], "total_magnetization_mub_per_atom": 0.38, "spacegroup": "Fm-3m", "e_form_raw_kcal_per_mol_atoms": 12.348}


Record 5
{"formula": "NdAsPd", "functional": "PBEsol", "state": "relaxed", "cell": [[-1.3468, 3.9577, 1.0904], [-1.5719, -1.9185, -3.5377], [-5.6767, -3.0881, 4.1969]], "species": ["Nd", "Nd", "Pd", "Pd", "As", "As"], "fractional_positions": [[0.0000, 0.0000, 0.9999], [0.0000, 0.0000, 0.4999], [0.6667, 0.3333, 0.7651], [0.3333, 0.6667, 0.2651], [0.6667, 0.3333, 0.2357], [0.3333, 0.6667, 0.7357]], "total_magnetization_mub_per_atom": 0.00, "spacegroup": "P6_3mc", "ef_ev_per_atom": -1.204}


Record 6
{"formula": "SrCaPb2", "functional": "PBEsol", "state": "relaxed", "cell": [[-1.0692, -2.4119, 2.4193], [3.9455, -2.3392, -0.5883], [3.1382, 3.9533, 5.3282]], "species": ["Pb", "Pb", "Ca", "Sr"], "fractional_positions": [[0.0000, 0.0000, 0.7302], [0.0000, 0.0000, 0.2698], [0.5000, 0.5000, 0.5000], [0.5000, 0.5000, 0.0000]], "total_magnetization_mub_per_atom": 0.00, "spacegroup": "Pmmm", "ef_ev_per_atom": -0.567}


Record 7
{"formula": "Y9Lu3Al20O48", "functional": "PBEsol", "state": "relaxed", "cell": [[-0.9365, 1.0214, 10.2566], [-5.5788, -8.1232, -3.1735], [3.4374, -8.5820, 4.6598]], "species": ["Al", "Al", "Al", "Al", "Al", "Al", "Al", "Al", "Al", "Al", "Al", "Al", "Al", "Al", "Al", "Al", "Al", "Al", "Al", "Al", "O", "O", "O", "O", "O", "O", "O", "O", "O", "O", "O", "O", "O", "O", "O", "O", "O", "O", "O", "O", "O", "O", "O", "O", "O", "O", "O", "O", "O", "O", "O", "O", "O", "O", "O", "O", "O", "O", "O", "O", "O", "O", "O", "O", "O", "O", "O", "O", "Y", "Y", "Y", "Y", "Y", "Y", "Y", "Y", "Y", "Lu", "Lu", "Lu"], "fractional_positions": [[0.3755, 0.8751, 0.9992], [0.2495, 0.9992, 0.2518], [0.2485, 0.4992, 0.2509], [0.6245, 0.6252, 0.5004], [0.6259, 0.2492, 0.6238], [0.2511, 0.9991, 0.7488], [0.7501, 0.0008, 0.7482], [0.0000, 0.8748, 0.1252], [0.3741, 0.7503, 0.3768], [0.0000, 0.3752, 0.6248], [0.7489, 0.0001, 0.2519], [0.1249, 0.1249, 0.5000], [0.5000, 0.6262, 0.8738], [0.7505, 0.4987, 0.2503], [0.1235, 0.2498, 0.1266], [0.8765, 0.7499, 0.8737], [0.8751, 0.3751, 0.9999], [0.5000, 0.1236, 0.3764], [0.2499, 0.5017, 0.7493], [0.7515, 0.5006, 0.7493], [0.4297, 0.2003, 0.6676], [0.9509, 0.6791, 0.1674], [0.0467, 0.4156, 0.4298], [0.6647, 0.8202, 0.4536], [0.0730, 0.7989, 0.8285], [0.2705, 0.2001, 0.1324], [0.5502, 0.4797, 0.8678], [0.3353, 0.8816, 0.8445], [0.3678, 0.5975, 0.3326], [0.1312, 0.9764, 0.4538], [0.2262, 0.7987, 0.3732], [0.8314, 0.1788, 0.0502], [0.8471, 0.9184, 0.1323], [0.6526, 0.0806, 0.3731], [0.5493, 0.3200, 0.3324], [0.7716, 0.6186, 0.5489], [0.5716, 0.9186, 0.9498], [0.4284, 0.4786, 0.6530], [0.7738, 0.4006, 0.4275], [0.3486, 0.6224, 0.8289], [0.4507, 0.1183, 0.2292], [0.5703, 0.9027, 0.2294], [0.6322, 0.2996, 0.7702], [0.0491, 0.8817, 0.2719], [0.1529, 0.0205, 0.9287], [0.9298, 0.0846, 0.5466], [0.2284, 0.6795, 0.1530], [0.9270, 0.0986, 0.2740], [0.9533, 0.5235, 0.6311], [0.1274, 0.4012, 0.1714], [0.1686, 0.1184, 0.6525], [0.2717, 0.3211, 0.3471], [0.6514, 0.8225, 0.7262], [0.6693, 0.0969, 0.6273], [0.8688, 0.4150, 0.1548], [0.8321, 0.9023, 0.8674], [0.1528, 0.3815, 0.6682], [0.3682, 0.0207, 0.0503], [0.3474, 0.9743, 0.5719], [0.7295, 0.5971, 0.0704], [0.3307, 0.7034, 0.5724], [0.8472, 0.1790, 0.7713], [0.8726, 0.7012, 0.7262], [0.1679, 0.3004, 0.9298], [0.7283, 0.3812, 0.9506], [0.4498, 0.5819, 0.0705], [0.0702, 0.5236, 0.8452], [0.6318, 0.5814, 0.3475], [0.6249, 0.1248, 0.0002], [0.0000, 0.6246, 0.3754], [0.6249, 0.7500, 0.1250], [0.0000, 0.1249, 0.8751], [0.8746, 0.8753, 0.5004], [0.3751, 0.3748, 0.5001], [0.1254, 0.6250, 0.9993], [0.3751, 0.2501, 0.8750], [0.5000, 0.3749, 0.1251], [0.5000, 0.8753, 0.6247], [0.8743, 0.2492, 0.3755], [0.1257, 0.7503, 0.6251]], "total_magnetization_mub_per_atom": 0.00, "spacegroup": "C2", "e_form_raw_kcal_per_mol_atoms": -76.937}


Record 8
{"formula": "CaSeBr2O", "functional": "PBEsol", "state": "relaxed", "cell": [[4.3239, 0.0000, 0.0000], [0.0000, 4.8583, 0.0000], [0.0000, 0.0000, 4.8583]], "species": ["Br", "Br", "Se", "Ca", "O"], "fractional_positions": [[0.0000, 0.0000, 0.5000], [0.0000, 0.5000, 0.0000], [0.5000, 0.0000, 0.0000], [0.5000, 0.5000, 0.5000], [0.0000, 0.0000, 0.0000]], "total_magnetization_mub_per_atom": 0.00, "spacegroup": "P4/mmm", "e_form_raw_kcal_per_mol_atoms": -13.356}


Record 9
{"formula": "CrAgRh", "functional": "PBEsol", "state": "relaxed", "cell": [[-0.6917, 2.5747, 0.4605], [-2.3976, -0.4337, -1.1761], [-0.6511, -2.5591, 5.3831]], "species": ["Cr", "Rh", "Ag"], "fractional_positions": [[0.6800, 0.6800, 0.3601], [0.3162, 0.3162, 0.6325], [0.0037, 0.0037, 0.0074]], "total_magnetization_mub_per_atom": 0.24, "spacegroup": "I4mm", "ef_ev_per_atom": 0.249}


Record 10
{"formula": "Co2NiW", "functional": "PBEsol", "state": "relaxed", "cell": [[-0.1910, 2.2443, -2.6294], [1.1919, -2.5487, -2.2620], [-3.4019, -1.0300, -0.6320]], "species": ["Co", "Co", "Ni", "W"], "fractional_positions": [[0.0000, 0.0000, 0.5000], [0.0000, 0.5000, 0.0000], [0.5000, 0.5000, 0.5000], [0.5000, 0.0000, 0.0000]], "total_magnetization_mub_per_atom": 0.00, "spacegroup": "P4/mmm", "ef_ev_per_atom": -0.072}


Record 11
{"formula": "Al2HgTe2", "functional": "PBEsol", "state": "relaxed", "cell": [[5.3496, 0.0000, 0.0000], [-2.6748, 5.1437, 0.1698], [0.0000, 2.6281, 4.6596]], "species": ["Al", "Al", "Hg", "Te", "Te"], "fractional_positions": [[0.3512, 0.7025, 0.6488], [0.6488, 0.2975, 0.3512], [0.0000, 0.0000, 0.0000], [0.2500, 0.5000, 0.2500], [0.7500, 0.5000, 0.7500]], "total_magnetization_mub_per_atom": 0.00, "spacegroup": "I4/mmm", "e_form_raw_kcal_per_mol_atoms": -2.660}


Record 12
{"formula": "HfZr2TlSi", "functional": "PBEsol", "state": "relaxed", "cell": [[-3.4277, 3.1569, 0.5238], [-1.4006, -2.2737, 4.5375], [3.3087, 3.1603, 2.6049]], "species": ["Si", "Zr", "Zr", "Hf", "Tl"], "fractional_positions": [[0.5000, 0.0000, 0.0000], [0.0000, 0.0000, 0.5000], [0.0000, 0.5000, 0.0000], [0.5000, 0.5000, 0.5000], [0.0000, 0.0000, 0.0000]], "total_magnetization_mub_per_atom": 0.00, "spacegroup": "P4/mmm", "e_form_raw_kcal_per_mol_atoms": 30.895}


Record 13
{"formula": "CaMgSi", "functional": "PBEsol", "state": "relaxed", "cell": [[4.3991, 0.0000, 0.0000], [0.0000, 7.3939, 0.0000], [0.0000, 0.0000, 8.2389]], "species": ["Si", "Si", "Si", "Si", "Ca", "Ca", "Ca", "Ca", "Mg", "Mg", "Mg", "Mg"], "fractional_positions": [[0.7500, 0.2306, 0.6154], [0.2500, 0.2694, 0.1154], [0.7500, 0.7306, 0.8846], [0.2500, 0.7694, 0.3846], [0.2500, 0.0191, 0.8188], [0.2500, 0.5191, 0.6812], [0.7500, 0.4809, 0.3188], [0.7500, 0.9809, 0.1812], [0.7500, 0.3550, 0.9361], [0.2500, 0.1450, 0.4361], [0.2500, 0.6450, 0.0639], [0.7500, 0.8550, 0.5639]], "total_magnetization_mub_per_atom": 0.00, "spacegroup": "Pnma", "e_form_raw_kcal_per_mol_atoms": -10.728}


Record 14
{"formula": "Hg2MoPt", "functional": "PBEsol", "state": "relaxed", "cell": [[-0.1717, 1.6315, 4.3328], [1.0916, -2.7582, 3.5588], [3.9201, 0.7113, 2.3644]], "species": ["Pt", "Hg", "Hg", "Mo"], "fractional_positions": [[0.2500, 0.2500, 0.2500], [0.7500, 0.7500, 0.7500], [0.0000, 0.0000, 0.0000], [0.5000, 0.5000, 0.5000]], "total_magnetization_mub_per_atom": 0.37, "spacegroup": "F-43m", "ef_ev_per_atom": 0.456}


Record 15
{"formula": "MgTi5", "functional": "PBEsol", "state": "relaxed", "cell": [[2.8511, 0.0001, 0.0001], [-1.4254, 5.4271, 0.0247], [0.0001, -1.7366, 6.6967]], "species": ["Ti", "Ti", "Ti", "Ti", "Ti", "Mg"], "fractional_positions": [[0.7160, 0.4324, 0.9443], [0.6620, 0.3237, 0.3297], [0.9978, 0.9954, 0.9804], [0.0673, 0.1347, 0.6197], [0.3301, 0.6599, 0.6722], [0.3937, 0.7872, 0.2870]], "total_magnetization_mub_per_atom": 0.00, "spacegroup": "Cm", "ef_ev_per_atom": 0.100}


Record 16
{"formula": "Li2TaAu", "functional": "PBEsol", "state": "relaxed", "cell": [[2.6776, 0.0000, 0.0000], [0.0000, 4.2845, 0.0000], [0.0000, 0.0000, 5.7294]], "species": ["Li", "Li", "Au", "Ta"], "fractional_positions": [[0.5000, 0.5000, 0.2209], [0.0000, 0.0000, 0.0123], [0.5000, 0.5000, 0.7347], [0.0000, 0.0000, 0.5320]], "total_magnetization_mub_per_atom": 0.00, "spacegroup": "Pmm2", "ef_ev_per_atom": 0.059}


Record 17
{"formula": "Mg2CrTe", "functional": "PBEsol", "state": "relaxed", "cell": [[4.1897, 0.0000, 0.0000], [0.0000, 4.1897, 0.0000], [-2.0949, -2.0949, 4.6663]], "species": ["Mg", "Mg", "Te", "Cr"], "fractional_positions": [[0.7500, 0.2500, 0.5000], [0.0000, 0.0000, 0.0000], [0.5000, 0.5000, 0.0000], [0.2500, 0.7500, 0.5000]], "total_magnetization_mub_per_atom": 0.90, "spacegroup": "I-4m2", "e_form_raw_kcal_per_mol_atoms": 3.546}


Record 18
{"formula": "KOsBr3", "functional": "PBEsol", "state": "relaxed", "cell": [[5.7393, 0.0000, 0.0000], [0.0000, 5.7393, 0.0000], [0.0000, 0.0000, 5.7393]], "species": ["Br", "Br", "Br", "K", "Os"], "fractional_positions": [[0.0000, 0.5000, 0.0000], [0.0000, 0.0000, 0.5000], [0.5000, 0.0000, 0.0000], [0.0000, 0.0000, 0.0000], [0.5000, 0.5000, 0.5000]], "total_magnetization_mub_per_atom": 1.22, "spacegroup": "Pm-3m", "e_form_raw_kcal_per_mol_atoms": 29.699}


Record 19
{"formula": "LiMg2Zn2", "functional": "PBEsol", "state": "relaxed", "cell": [[3.1029, 0.0000, 0.0000], [0.0000, 7.6638, 0.0000], [0.0000, 0.0000, 7.6638]], "species": ["Li", "Li", "Mg", "Mg", "Mg", "Mg", "Zn", "Zn", "Zn", "Zn"], "fractional_positions": [[0.0000, 0.5000, 0.5000], [0.0000, 0.0000, 0.0000], [0.5000, 0.3220, 0.1780], [0.5000, 0.1780, 0.6780], [0.5000, 0.6780, 0.8220], [0.5000, 0.8220, 0.3220], [0.0000, 0.8814, 0.6186], [0.0000, 0.3814, 0.8814], [0.0000, 0.1186, 0.3814], [0.0000, 0.6186, 0.1186]], "total_magnetization_mub_per_atom": 0.00, "spacegroup": "P4/mbm", "ef_ev_per_atom": -0.073}


Record 20
{"formula": "NiW2Se", "functional": "PBEsol", "state": "relaxed", "cell": [[-0.4676, -0.2595, -3.0264], [-2.4234, -3.5834, 0.6817], [-2.1010, 4.3840, 1.5091]], "species": ["Se", "Ni", "W", "W"], "fractional_positions": [[0.5000, 0.0000, 0.0000], [0.0000, 0.5000, 0.0000], [0.2342, 0.2342, 0.4683], [0.7658, 0.7658, 0.5317]], "total_magnetization_mub_per_atom": 0.00, "spacegroup": "Immm", "e_form_raw_kcal_per_mol_atoms": 10.024}


no.,ρ (g cm⁻³)
1,7.38
2,4.78
3,5.24
4,7.58
5,8.68
6,7.41
7,5.12
8,4.80
9,10.49
10,13.26
11,6.73
12,7.58
13,2.29
14,16.35
15,4.22
16,9.90
17,4.63
18,4.12
19,3.40
20,14.40